The following is a meta-GGA SCAN calculation of a PBEsol-optimized structure of K17Tl12, from the Alexandria database.

Calculated volume in A^3/atom: 37.86
E in hartree per atom: -1.2850
Size of the total moment in μB per formula unit: 0.0
ΔE_f in kJ/mol of atoms: -13.8

a = 11.256 Å, b = 11.256 Å, c = 11.256 Å
α = 109.47°, β = 109.47°, γ = 109.47°
Fractional positions:
K 0.000 0.000 0.000
K 0.000 0.000 0.674
K 0.000 0.425 0.697
K 0.000 0.674 0.000
K 0.000 0.697 0.425
K 0.272 0.575 0.575
K 0.303 0.303 0.728
K 0.303 0.728 0.303
K 0.326 0.326 0.326
K 0.425 0.000 0.697
K 0.425 0.697 0.000
K 0.575 0.272 0.575
K 0.575 0.575 0.272
K 0.674 0.000 0.000
K 0.697 0.000 0.425
K 0.697 0.425 0.000
K 0.728 0.303 0.303
Tl 0.000 0.174 0.368
Tl 0.000 0.368 0.174
Tl 0.174 0.000 0.368
Tl 0.174 0.368 0.000
Tl 0.194 0.826 0.826
Tl 0.368 0.000 0.174
Tl 0.368 0.174 0.000
Tl 0.632 0.632 0.806
Tl 0.632 0.806 0.632
Tl 0.806 0.632 0.632
Tl 0.826 0.194 0.826
Tl 0.826 0.826 0.194

=====

The following is a meta-GGA SCAN calculation of a PBEsol-optimized structure of KTl, from the Alexandria database.

Calculated volume in A^3/atom: 39.03
E in hartree per atom: -1.4878
Size of the total moment in μB per formula unit: 0.0
ΔE_f in kJ/mol of atoms: -13.8

a = 4.012 Å, b = 4.012 Å, c = 9.696 Å
α = 90.00°, β = 90.00°, γ = 90.00°
Fractional positions:
K 0.250 0.250 0.191
K 0.750 0.750 0.809
Tl 0.250 0.250 0.585
Tl 0.750 0.750 0.415

=====

The following is a meta-GGA SCAN calculation of a PBEsol-optimized structure of KTl, from the Alexandria database.

Calculated volume in A^3/atom: 37.64
E in hartree per atom: -1.4887
Size of the total moment in μB per formula unit: 0.0
ΔE_f in kJ/mol of atoms: -16.1

a = 7.192 Å, b = 7.192 Å, c = 5.325 Å
α = 90.00°, β = 90.00°, γ = 146.87°
Fractional positions:
K 0.161 0.839 0.750
K 0.839 0.161 0.250
Tl 0.446 0.554 0.750
Tl 0.554 0.446 0.250

=====

The following is a meta-GGA SCAN calculation of a PBEsol-optimized structure of KTl, from the Alexandria database.

Calculated volume in A^3/atom: 35.25
E in hartree per atom: -1.4839
Size of the total moment in μB per formula unit: 0.0
ΔE_f in kJ/mol of atoms: -3.4

a = 3.526 Å, b = 6.022 Å, c = 6.640 Å
α = 90.00°, β = 90.00°, γ = 90.00°
Fractional positions:
K 0.250 0.250 0.136
K 0.750 0.750 0.864
Tl 0.250 0.750 0.392
Tl 0.750 0.250 0.608

=====

The following is a meta-GGA SCAN calculation of a PBEsol-optimized structure of KTl4, from the Alexandria database.

Calculated volume in A^3/atom: 32.66
E in hartree per atom: -2.1908
Size of the total moment in μB per formula unit: 0.0
ΔE_f in kJ/mol of atoms: -6.1

a = 9.467 Å, b = 9.467 Å, c = 9.467 Å
α = 109.47°, β = 109.47°, γ = 109.47°
Fractional positions:
K 0.000 0.000 0.431
K 0.000 0.431 0.000
K 0.431 0.000 0.000
K 0.569 0.569 0.569
Tl 0.000 0.000 0.787
Tl 0.000 0.349 0.349
Tl 0.000 0.651 0.651
Tl 0.000 0.787 0.000
Tl 0.213 0.213 0.213
Tl 0.250 0.500 0.750
Tl 0.250 0.750 0.500
Tl 0.349 0.000 0.349
Tl 0.349 0.349 0.000
Tl 0.500 0.250 0.750
Tl 0.500 0.750 0.250
Tl 0.651 0.000 0.651
Tl 0.651 0.651 0.000
Tl 0.750 0.250 0.500
Tl 0.750 0.500 0.250
Tl 0.787 0.000 0.000

=====

The following is a meta-GGA SCAN calculation of a PBEsol-optimized structure of KTl5, from the Alexandria database.

Calculated volume in A^3/atom: 30.03
E in hartree per atom: -2.2698
Size of the total moment in μB per formula unit: 0.0
Excess energy over the best structure of this formula in the dataset in eV per atom: 0.020
ΔE_f in kJ/mol of atoms: -7.4

a = 3.967 Å, b = 3.967 Å, c = 11.449 Å
α = 90.00°, β = 90.00°, γ = 90.00°
Fractional positions:
K 0.000 0.000 0.000
Tl 0.000 0.000 0.347
Tl 0.000 0.000 0.653
Tl 0.500 0.500 0.200
Tl 0.500 0.500 0.500
Tl 0.500 0.500 0.800

=====

The following is a meta-GGA SCAN calculation of a PBEsol-optimized structure of KTlW, from the Alexandria database.

Calculated volume in A^3/atom: 32.41
E in hartree per atom: -1.7559
Size of the total moment in μB per formula unit: 4.2
Excess energy over the best structure of this formula in the dataset in eV per atom: 1.264
ΔE_f in kJ/mol of atoms: 226.2

a = 5.161 Å, b = 5.161 Å, c = 5.161 Å
α = 60.00°, β = 60.00°, γ = 60.00°
Fractional positions:
K 0.000 0.000 0.000
Tl 0.250 0.250 0.250
W 0.750 0.750 0.750

=====

The following is a meta-GGA SCAN calculation of a PBEsol-optimized structure of KTlW, from the Alexandria database.

Calculated volume in A^3/atom: 22.72
E in hartree per atom: -1.7890
Size of the total moment in μB per formula unit: 1.6
Excess energy over the best structure of this formula in the dataset in eV per atom: 0.363
ΔE_f in kJ/mol of atoms: 139.3

a = 5.283 Å, b = 5.283 Å, c = 2.820 Å
α = 90.00°, β = 90.00°, γ = 120.00°
Fractional positions:
K 0.000 0.000 0.000
Tl 0.333 0.667 0.500
W 0.667 0.333 0.500

=====

The following is a meta-GGA SCAN calculation of a PBEsol-optimized structure of KTl3W, from the Alexandria database.

Calculated volume in A^3/atom: 36.23
E in hartree per atom: -2.0958
Size of the total moment in μB per formula unit: 3.6
ΔE_f in kJ/mol of atoms: 192.0

a = 5.658 Å, b = 5.658 Å, c = 5.658 Å
α = 90.00°, β = 90.00°, γ = 90.00°
Fractional positions:
K 0.000 0.000 0.000
Tl 0.000 0.000 0.500
Tl 0.000 0.500 0.000
Tl 0.500 0.000 0.000
W 0.500 0.500 0.500

=====

The following is a meta-GGA SCAN calculation of a PBEsol-optimized structure of KTlW, from the Alexandria database.

Calculated volume in A^3/atom: 22.42
E in hartree per atom: -1.8023
Size of the total moment in μB per formula unit: 0.0
Excess energy over the best structure of this formula in the dataset in eV per atom: 0.000
ΔE_f in kJ/mol of atoms: 104.3

a = 8.589 Å, b = 8.485 Å, c = 2.882 Å
α = 82.32°, β = 78.26°, γ = 19.42°
Fractional positions:
K 0.000 0.000 0.000
Tl 0.322 0.322 0.678
W 0.678 0.678 0.322

=====

The following is a meta-GGA SCAN calculation of a PBEsol-optimized structure of KTlW2, from the Alexandria database.

Calculated volume in A^3/atom: 20.28
E in hartree per atom: -1.9699
Size of the total moment in μB per formula unit: 0.0
Excess energy over the best structure of this formula in the dataset in eV per atom: 0.000
ΔE_f in kJ/mol of atoms: 136.2

a = 2.844 Å, b = 2.844 Å, c = 11.042 Å
α = 90.00°, β = 90.00°, γ = 114.68°
Fractional positions:
K 0.000 0.000 0.000
Tl 0.000 0.000 0.500
W 0.500 0.500 0.278
W 0.500 0.500 0.722

=====

The following is a meta-GGA SCAN calculation of a PBEsol-optimized structure of KTlW2, from the Alexandria database.

Calculated volume in A^3/atom: 20.29
E in hartree per atom: -1.9695
Size of the total moment in μB per formula unit: 0.0
Excess energy over the best structure of this formula in the dataset in eV per atom: 0.013
ΔE_f in kJ/mol of atoms: 137.4

a = 11.202 Å, b = 11.202 Å, c = 11.202 Å
α = 14.92°, β = 14.92°, γ = 14.92°
Fractional positions:
K 0.000 0.000 0.000
Tl 0.500 0.500 0.500
W 0.241 0.241 0.241
W 0.759 0.759 0.759

=====

The following is a meta-GGA SCAN calculation of a PBEsol-optimized structure of KY4Tl, from the Alexandria database.

Calculated volume in A^3/atom: 32.67
E in hartree per atom: -1.1616
Size of the total moment in μB per formula unit: 0.0
ΔE_f in kJ/mol of atoms: 38.7

a = 6.520 Å, b = 6.520 Å, c = 6.520 Å
α = 60.00°, β = 60.00°, γ = 60.00°
Fractional positions:
K 0.000 0.000 0.000
Y 0.130 0.623 0.623
Y 0.623 0.130 0.623
Y 0.623 0.623 0.130
Y 0.623 0.623 0.623
Tl 0.250 0.250 0.250

=====

The following is a meta-GGA SCAN calculation of a PBEsol-optimized structure of KY2Tl, from the Alexandria database.

Calculated volume in A^3/atom: 32.75
E in hartree per atom: -1.2475
Size of the total moment in μB per formula unit: 1.0
Excess energy over the best structure of this formula in the dataset in eV per atom: 0.191
ΔE_f in kJ/mol of atoms: 14.3

a = 5.960 Å, b = 5.960 Å, c = 6.749 Å
α = 97.87°, β = 97.87°, γ = 33.52°
Fractional positions:
K 0.000 0.000 0.000
Y 0.228 0.228 0.679
Y 0.483 0.483 0.479
Tl 0.745 0.745 0.274